Compound: Ca2AlCuO5
Source: the Alexandria database
Functional: PBE
Structure: optimized geometry

Cell: 3.2071 6.5100 10.3612 Å, 90.00 90.00 104.26°
Sites, in units of the cell vectors:
O 0.7248 0.4496 0.1607
O 0.6173 0.2345 0.4952
O 0.3104 0.6208 0.4089
O 0.4989 0.9979 0.2828
O 0.5011 0.0021 0.7828
O 0.2752 0.5504 0.6607
O 0.6896 0.3792 0.9089
O 0.9427 0.8855 0.5290
O 0.0573 0.1145 0.0290
O 0.3827 0.7655 0.9952
Cu 0.2200 0.4399 0.0287
Cu 0.7800 0.5601 0.5287
Al 0.4602 0.9205 0.4476
Al 0.5398 0.0795 0.9476
Ca 0.9041 0.8083 0.1653
Ca 0.8558 0.7115 0.8057
Ca 0.1442 0.2885 0.3057
Ca 0.0959 0.1917 0.6653

- Energy above the lowest structure with this stoichiometry: 61.5 meV/atom
- Symmetry: No. 36
- Formation energy (no corrections): -2.2391 eV per atom

Compound: KPmTl2I6
Source: the Alexandria database
Functional: PBE
Structure: optimized geometry

Cell: 8.6786 8.6762 9.0934 Å, 61.47 61.46 59.98°
Sites, in units of the cell vectors:
Tl 0.0134 0.0135 0.9600
Tl 0.5223 0.5220 0.4334
Pm 0.3251 0.3250 0.0248
I 0.6905 0.1224 0.7688
I 0.4183 0.6903 0.7686
I 0.9710 0.5688 0.2476
I 0.2126 0.9710 0.2475
I 0.1225 0.4185 0.7688
I 0.5686 0.2126 0.2476
K 0.8172 0.8174 0.5480

- Symmetry: No. 146
- Formation energy (no corrections): -1.1274 eV per atom

Compound: AgPd3Au
Source: the Alexandria database
Functional: PBE
Structure: optimized geometry

Cell: 4.7362 5.4873 7.5760 Å, 109.42 90.00 115.57°
Sites, in units of the cell vectors:
Au 0.4544 0.9089 0.1560
Au 0.5456 0.0911 0.8440
Pd 0.9441 0.8883 0.6419
Pd 0.7567 0.5135 0.2572
Pd 0.3513 0.7026 0.4524
Pd 0.0559 0.1117 0.3581
Pd 0.2433 0.4865 0.7428
Pd 0.6487 0.2974 0.5476
Ag 0.1516 0.3032 0.0526
Ag 0.8484 0.6968 0.9474

- Energy above the lowest structure with this stoichiometry: 43.3 meV/atom
- Symmetry: No. 12
- Formation enthalpy at 0 K: 0.01 eV/f.u.

Compound: NaB3Pt
Source: the Alexandria database
Functional: PBE
Structure: optimized geometry

Cell: 4.1884 4.1884 4.1884 Å, 90.00 90.00 90.00°
Sites, in units of the cell vectors:
B 0.5000 0.0000 0.0000
B 0.0000 0.5000 0.0000
B 0.0000 0.0000 0.5000
Na 0.5000 0.5000 0.5000
Pt 0.0000 0.0000 0.0000

- Energy above the lowest structure with this stoichiometry: 0.0 meV/atom
- Symmetry: No. 221
- Formation enthalpy at 0 K: 5.06 eV/f.u.

Compound: ZnGaAg2S4
Source: the Alexandria database
Functional: PBE
Structure: optimized geometry

Cell: 5.7259 5.7268 6.7032 Å, 115.29 115.28 90.00°
Sites, in units of the cell vectors:
Zn 0.7359 0.7359 0.4718
Ag 0.4859 0.9860 0.9718
Ag 0.2359 0.2358 0.4716
Ga 0.9858 0.4858 0.9717
S 0.8636 0.3892 0.2191
S 0.3555 0.8299 0.2191
S 0.6419 0.6082 0.7245
S 0.0826 0.1163 0.7244

- Symmetry: No. 82
- Formation energy (no corrections): -0.4031 eV per atom

Compound: LaCr2Cd2
Source: the Alexandria database
Functional: PBE
Structure: optimized geometry

Cell: 8.2755 8.2755 2.8872 Å, 90.00 90.00 90.00°
Sites, in units of the cell vectors:
Cr 0.6726 0.8274 0.5000
Cr 0.3274 0.1726 0.5000
Cr 0.1726 0.6726 0.5000
Cr 0.8274 0.3274 0.5000
Cd 0.1242 0.3758 0.0000
Cd 0.3758 0.8758 0.0000
Cd 0.8758 0.6242 0.0000
Cd 0.6242 0.1242 0.0000
La 0.0000 0.0000 0.0000
La 0.5000 0.5000 0.0000

- Energy above the lowest structure with this stoichiometry: 509.5 meV/atom
- Symmetry: No. 127
- Formation enthalpy at 0 K: 3.99 eV/f.u.

Compound: Li5BeAs2
Source: the Alexandria database
Functional: PBE
Structure: optimized geometry

Cell: 4.3836 4.3836 15.6056 Å, 90.00 90.00 120.00°
Sites, in units of the cell vectors:
Li 0.0000 0.0000 0.1505
Li 0.0000 0.0000 0.6505
Li 0.6667 0.3333 0.4468
Li 0.3333 0.6667 0.7500
Li 0.0000 0.0000 0.8495
Li 0.6667 0.3333 0.0532
Li 0.6667 0.3333 0.2500
Li 0.3333 0.6667 0.5532
Li 0.3333 0.6667 0.9468
Li 0.0000 0.0000 0.3495
As 0.3333 0.6667 0.1147
As 0.6667 0.3333 0.6147
As 0.3333 0.6667 0.3853
As 0.6667 0.3333 0.8853
Be 0.3333 0.6667 0.2500
Be 0.6667 0.3333 0.7500

- Symmetry: No. 194
- Formation enthalpy at 0 K: -3.90 eV/f.u.

Compound: Er2Ga3Pd4
Source: the Alexandria database
Functional: PBE
Structure: optimized geometry

Cell: 5.5599 7.6979 8.0455 Å, 90.00 110.21 90.00°
Sites, in units of the cell vectors:
Pd 0.3090 0.2500 0.1180
Pd 0.6819 0.5197 0.3637
Pd 0.1910 0.7500 0.8820
Pd 0.1819 0.9803 0.3637
Pd 0.8181 0.0197 0.6363
Pd 0.6910 0.7500 0.8820
Pd 0.3181 0.4803 0.6363
Pd 0.8090 0.2500 0.1180
Er 0.1095 0.5837 0.2190
Er 0.6095 0.9163 0.2190
Er 0.3905 0.0837 0.7810
Er 0.8905 0.4163 0.7810
Ga 0.0190 0.7500 0.5380
Ga 0.4810 0.2500 0.4620
Ga 0.5190 0.7500 0.5380
Ga 0.9810 0.2500 0.4620
Ga 0.5000 0.5000 0.0000
Ga 0.0000 0.0000 0.0000

- Symmetry: No. 64
- Formation enthalpy at 0 K: -7.68 eV/f.u.